Version i
CdTe2S: relaxed, PBE.

* SG: No. 166
* total magnetization: 0.000 μB per atom

a b c (Å): 8.4075 8.4075 8.4075
angles (deg): 30.91 30.91 30.91
Positions (direct):
Cd: 0.0000 0.0000 0.0000
Te: 0.3962 0.3962 0.3962
Te: 0.6038 0.6038 0.6038
S: 0.5000 0.5000 0.5000

=====

Version ii
CdTe2S: relaxed, PBE.

* SG: No. 122
* total magnetization: 0.000 μB per atom

a b c (Å): 8.7353 8.7353 8.7353
angles (deg): 140.40 140.40 57.25
Positions (direct):
Cd: 0.0000 0.0000 0.0000
Cd: 0.7500 0.2500 0.5000
Te: 0.1725 0.6250 0.0475
Te: 0.3750 0.4225 0.5475
Te: 0.5775 0.1250 0.9525
Te: 0.8750 0.8275 0.4525
S: 0.2500 0.7500 0.5000
S: 0.5000 0.5000 0.0000

=====

Quick one: least stable of them? version i

=====

Version i
CdTeS: relaxed, PBE.

* SG: No. 1
* total magnetization: 0.000 μB per atom

a b c (Å): 4.1586 4.3526 5.6879
angles (deg): 109.81 90.11 118.50
Positions (direct):
Cd: 0.0000 0.0000 0.0000
Te: 0.3832 0.7673 0.3435
S: 0.3155 0.6317 0.7415

=====

Version ii
CdTeS: relaxed, PBE.

* SG: No. 2
* total magnetization: 0.000 μB per atom

a b c (Å): 4.2202 5.6586 7.6385
angles (deg): 107.65 90.22 90.27
Positions (direct):
Cd: 0.2492 0.2670 0.2861
Cd: 0.7508 0.7330 0.7139
Te: 0.2526 0.1259 0.8484
Te: 0.7474 0.8741 0.1516
S: 0.2497 0.4098 0.6566
S: 0.7503 0.5902 0.3434

=====

Version iii
CdTeS: relaxed, PBE.

* SG: No. 1
* total magnetization: 0.000 μB per atom

a b c (Å): 4.3702 4.6324 5.5672
angles (deg): 107.31 108.36 99.09
Positions (direct):
Cd: 0.0000 0.0000 0.0000
Te: 0.6151 0.3597 0.7378
S: 0.6201 0.2340 0.2760

=====

Quick one: least stable of them? version i

=====

Version i
Cd5TeS4: relaxed, PBE.

* SG: No. 160
* total magnetization: 0.000 μB per atom

a b c (Å): 17.7211 17.7211 17.7211
angles (deg): 13.88 13.88 13.88
Positions (direct):
Cd: 0.0000 0.0000 0.0000
Cd: 0.1911 0.1911 0.1911
Cd: 0.3968 0.3968 0.3968
Cd: 0.5885 0.5885 0.5885
Cd: 0.7940 0.7940 0.7940
Te: 0.6426 0.6426 0.6426
S: 0.0484 0.0484 0.0484
S: 0.2400 0.2400 0.2400
S: 0.4456 0.4456 0.4456
S: 0.8428 0.8428 0.8428

=====

Version ii
Cd5TeS4: relaxed, PBE.

* SG: No. 119
* total magnetization: 0.000 μB per atom

a b c (Å): 15.3912 15.3912 15.3912
angles (deg): 163.95 163.95 22.77
Positions (direct):
Cd: 0.0000 0.0000 0.0000
Cd: 0.1900 0.1900 0.0000
Cd: 0.4054 0.4054 0.0000
Cd: 0.5946 0.5946 0.0000
Cd: 0.8100 0.8100 0.0000
Te: 0.7500 0.2500 0.5000
S: 0.1422 0.6422 0.5000
S: 0.3578 0.8578 0.5000
S: 0.5473 0.0473 0.5000
S: 0.9527 0.4527 0.5000

=====

Quick one: least stable of them? version i